NdSi7Ru3: relaxed, PBE.

CIF file:
```
data_NdSi7Ru3
_cell_length_a 7.670
_cell_length_b 7.670
_cell_length_c 8.044
_cell_angle_alpha 61.53
_cell_angle_beta 61.53
_cell_angle_gamma 60.00
_symmetry_space_group_name_H-M 'P 1'
_symmetry_Int_Tables_number 1
_symmetry_space_group_name_Hall 'P 1'
loop_
_atom_site_label
_atom_site_type_symbol
_atom_site_fract_x
_atom_site_fract_y
_atom_site_fract_z
_atom_site_occupancy
Nd1 Nd 0.500 0.500 0.500 1
Nd2 Nd 0.000 0.000 0.000 1
Si1 Si 0.669 0.060 0.418 1
Si2 Si 0.060 0.853 0.418 1
Si3 Si 0.853 0.669 0.418 1
Si4 Si 0.831 0.647 0.082 1
Si5 Si 0.440 0.831 0.082 1
Si6 Si 0.647 0.440 0.082 1
Si7 Si 0.331 0.940 0.582 1
Si8 Si 0.940 0.147 0.582 1
Si9 Si 0.147 0.331 0.582 1
Si10 Si 0.169 0.353 0.918 1
Si11 Si 0.560 0.169 0.918 1
Si12 Si 0.353 0.560 0.918 1
Si13 Si 0.750 0.750 0.750 1
Si14 Si 0.250 0.250 0.250 1
Ru1 Ru 0.422 0.078 0.750 1
Ru2 Ru 0.078 0.750 0.750 1
Ru3 Ru 0.750 0.422 0.750 1
Ru4 Ru 0.578 0.922 0.250 1
Ru5 Ru 0.922 0.250 0.250 1
Ru6 Ru 0.250 0.578 0.250 1
```

Output
formation energy without anion corrections: -0.5222 eV per atom
M_tot: 0.00 μB per atom
mass density: 6.253 g/cm³